This record from Alexandria via LeMat-Bulk describes crystalline RbCoRuF6 at its relaxed geometry. The functional is PBE with a Hubbard U.

```
data_RbCoRuF6
_space_group_name_H-M_alt 'P 1'
_space_group_IT_number 1
_space_group_name_Hall 'P 1'
_cell_length_a 7.460
_cell_length_b 7.460
_cell_length_c 7.460
_cell_angle_alpha 120.24
_cell_angle_beta 119.88
_cell_angle_gamma 89.89
loop_
_atom_site_label
_atom_site_type_symbol
_atom_site_fract_x
_atom_site_fract_y
_atom_site_fract_z
Rb1 Rb 0.363 0.113 0.250
Rb2 Rb 0.637 0.887 0.750
Co1 Co 0.000 0.000 0.500
Co2 Co 0.000 0.500 0.000
Ru1 Ru 0.000 0.500 0.500
Ru2 Ru 0.500 0.500 0.000
F1 F 0.072 0.822 0.250
F2 F 0.082 0.425 0.257
F3 F 0.082 0.825 0.657
F4 F 0.324 0.574 0.750
F5 F 0.332 0.175 0.757
F6 F 0.332 0.575 0.157
F7 F 0.668 0.425 0.843
F8 F 0.668 0.825 0.243
F9 F 0.676 0.426 0.250
F10 F 0.918 0.175 0.343
F11 F 0.918 0.575 0.743
F12 F 0.928 0.178 0.750
```

Results
E_tot: -45.12 eV per formula unit
density of states at the Fermi level: 8.6 states/eV/cell
space-group type: No. 74